TbSc2Ru | GGA-PBE | relaxed

```
TbSc2Ru
1.0
3.271 0.000 0.000
0.000 3.271 0.000
0.000 0.000 8.375
Sc Ru Tb
2 1 1
Cartesian
0.000 0.000 6.854 Sc
0.000 0.000 1.521 Sc
1.635 1.635 0.000 Ru
1.635 1.635 4.188 Tb
```

Final energy = -0.2560 Ha/atom
Offset from the most stable computed form = 14 meV per atom
Formation energy from the elements = -0.324 eV/atom

=====

Tb3ScRu8 | GGA-PBE | relaxed

```
Tb3ScRu8
1.0
5.071 0.000 1.531
2.305 4.517 1.531
-0.021 -0.013 9.235
Tb Ru Sc
3 8 1
Cartesian
7.366 4.511 3.095 Tb
3.680 2.254 6.138 Tb
2.745 1.681 9.238 Tb
3.227 1.976 3.118 Ru
4.364 4.205 3.874 Ru
5.729 1.976 3.874 Ru
5.056 3.097 10.745 Ru
1.382 0.846 4.587 Ru
4.383 4.229 8.418 Ru
6.905 4.229 9.180 Ru
5.759 1.982 8.418 Ru
6.445 3.947 6.146 Sc
```

Final energy = -0.2999 Ha/atom
Formation energy from the elements = -0.291 eV/atom

=====

TbScRu2 | GGA-PBE | relaxed

```
TbScRu2
1.0
-4.397 -1.519 0.338
1.909 -5.144 1.713
-0.810 3.365 4.589
Ru Tb Sc
4 2 2
Cartesian
-3.354 -0.537 2.227 Ru
0.056 -2.762 4.412 Ru
-0.479 -1.895 1.343 Ru
-2.819 -1.404 5.297 Ru
0.459 -4.426 2.168 Tb
-3.757 1.127 4.471 Tb
-0.874 -0.255 3.578 Sc
-2.424 -3.044 3.061 Sc
```

Final energy = -0.2855 Ha/atom
Formation energy from the elements = -0.391 eV/atom

=====

TbSc5Ru4 | GGA-PBE | relaxed

```
TbSc5Ru4
1.0
-1.778 -0.372 2.681
0.787 -3.140 0.087
14.402 3.888 10.086
Sc Ru Tb
5 4 1
Cartesian
6.706 0.188 6.427 Sc
1.664 -1.173 2.896 Sc
11.747 1.549 9.958 Sc
9.233 0.870 8.197 Sc
4.178 -0.494 4.657 Sc
5.916 1.597 4.143 Ru
3.302 0.891 2.312 Ru
8.486 2.291 5.943 Ru
11.100 2.997 7.774 Ru
0.000 0.000 0.000 Tb
```

Final energy = -0.2866 Ha/atom
Formation energy from the elements = -0.459 eV/atom